1.
Sc5GaFe | PBE-GGA | optimized geometry

a b c (Å): 5.3506 5.3506 10.8623
angles (deg): 77.07 77.07 77.71
With the nearest neighbours (Å) after each atom.
Fractional coordinates of all 14 atoms:
Sc 0.0085 0.9915 0.7500  2 Fe 2.72, 1 Ga 2.75, 2 Sc 3.02
Sc 0.0816 0.4131 0.8763  1 Fe 2.39
Sc 0.4598 0.7977 0.9330  1 Fe 2.48
Sc 0.9184 0.5869 0.1237  1 Fe 2.39
Sc 0.4131 0.0816 0.3763  1 Fe 2.39
Ga 0.5995 0.4005 0.7500  3 Sc 2.75-2.80
Sc 0.7977 0.4598 0.4330  1 Fe 2.48
Fe 0.0000 0.0000 0.5000  4 Sc 2.39-2.48
Fe 0.0000 0.0000 0.0000  4 Sc 2.39-2.48
Ga 0.4005 0.5995 0.2500  3 Sc 2.75-2.80
Sc 0.5869 0.9184 0.6237  1 Fe 2.39
Sc 0.9915 0.0085 0.2500  2 Fe 2.72, 1 Ga 2.75, 2 Sc 3.02
Sc 0.5402 0.2023 0.0670  1 Fe 2.48
Sc 0.2023 0.5402 0.5670  1 Fe 2.48

Output
D(E_F): 16.33 states/eV per cell
DFT formation energy: -0.0850 eV/atom
ρ: 4.00 Mg/m³
space group: C2/c

2.
ScGa5Fe | PBE-GGA | optimized geometry

a b c (Å): 4.1539 4.1539 6.6415
angles (deg): 90.00 90.00 90.00
With the nearest neighbours (Å) after each atom.
Fractional coordinates of all 7 atoms:
Ga 0.5000 0.0000 0.3050  2 Fe 2.45, 1 Ga 2.59
Fe 0.0000 0.0000 0.5000  8 Ga 2.45
Sc 0.0000 0.0000 0.0000  12 Ga 2.90-2.94
Ga 0.5000 0.0000 0.6950  2 Fe 2.45, 1 Ga 2.59
Ga 0.5000 0.5000 0.0000  8 Ga 2.90, 4 Sc 2.94
Ga 0.0000 0.5000 0.6950  2 Fe 2.45, 1 Ga 2.59
Ga 0.0000 0.5000 0.3050  2 Fe 2.45, 1 Ga 2.59

Output
D(E_F): 3.89 states/eV per cell
DFT formation energy: -0.3826 eV/atom
ρ: 6.51 Mg/m³
space group: P4/mmm

3.
ScGa2Fe2 | PBE-GGA | optimized geometry

a b c (Å): 4.0793 4.0793 5.4977
angles (deg): 68.22 68.22 90.00
With the nearest neighbours (Å) after each atom.
Fractional coordinates of all 5 atoms:
Ga 0.2500 0.7500 0.5000  4 Fe 2.43
Ga 0.7500 0.2500 0.5000  4 Fe 2.43
Fe 0.6087 0.6087 0.7826  1 Fe 2.03
Fe 0.3913 0.3913 0.2174  1 Fe 2.03
Sc 0.0000 0.0000 0.0000  8 Fe 3.06, 8 Ga 3.10

Output
D(E_F): 6.02 states/eV per cell
DFT formation energy: -0.1243 eV/atom
ρ: 6.31 Mg/m³
offset from the most stable computed form: 0.158 eV per atom
space group: I4/mmm

4.
ScGa3Fe | PBE-GGA | optimized geometry

a b c (Å): 5.4737 7.4332 8.1716
angles (deg): 90.00 90.00 90.00
With the nearest neighbours (Å) after each atom.
Fractional coordinates of all 20 atoms:
Sc 0.2647 0.3733 0.7500  2 Fe 2.68, 7 Ga 2.88-2.99
Ga 0.8747 0.8159 0.5527  2 Fe 2.48-2.50
Fe 0.0000 0.5000 0.0000  6 Ga 2.45-2.50, 2 Sc 2.68
Ga 0.8747 0.8159 0.9473  2 Fe 2.48-2.50
Sc 0.7353 0.6267 0.2500  2 Fe 2.68, 7 Ga 2.88-2.99
Ga 0.1253 0.1841 0.4473  2 Fe 2.48-2.50
Ga 0.1253 0.1841 0.0527  2 Fe 2.48-2.50
Ga 0.7443 0.0199 0.2500  2 Fe 2.45
Fe 0.5000 0.0000 0.0000  6 Ga 2.45-2.50, 2 Sc 2.68
Fe 0.0000 0.5000 0.5000  6 Ga 2.45-2.50, 2 Sc 2.68
Ga 0.6253 0.3159 0.4473  2 Fe 2.48-2.50
Fe 0.5000 0.0000 0.5000  6 Ga 2.45-2.50, 2 Sc 2.68
Ga 0.2557 0.9801 0.7500  2 Fe 2.45
Ga 0.3747 0.6841 0.9473  2 Fe 2.48-2.50
Sc 0.7647 0.1267 0.7500  2 Fe 2.68, 7 Ga 2.88-2.99
Ga 0.7557 0.5199 0.7500  2 Fe 2.45
Ga 0.6253 0.3159 0.0527  2 Fe 2.48-2.50
Ga 0.3747 0.6841 0.5527  2 Fe 2.48-2.50
Sc 0.2353 0.8733 0.2500  2 Fe 2.68, 7 Ga 2.88-2.99
Ga 0.2443 0.4801 0.2500  2 Fe 2.45

Output
D(E_F): 14.87 states/eV per cell
DFT formation energy: -0.2393 eV/atom
ρ: 6.19 Mg/m³
offset from the most stable computed form: 0.097 eV per atom
space group: Pnma